(1)
## ScCoSiIr (PBE-GGA)

Data for an optimized crystal structure of ScCoSiIr.

Cell and atoms, written as POSCAR:
```
ScCoSiIr
1.0
1.2890 -2.3364 3.4487
1.3013 2.0199 3.6387
-2.4809 -0.1493 3.5828
Sc Si Co Ir
1 1 1 1
direct
0.2500 0.2500 0.2500
0.0000 0.0000 0.0000
0.7500 0.7500 0.7500
0.5000 0.5000 0.5000
```

Results
E, Ry/atom: -0.523
V, Å³/atom: 14.656
Offset from the most stable computed form, meV/atom: 484


(2)
## RbLuFeS3 (PBE-GGA)

Data for an optimized crystal structure of RbLuFeS3.

Cell and atoms, written as POSCAR:
```
RbLuFeS3
1.0
-9.4270 2.0584 -3.5246
-0.5629 -3.8543 -0.7455
-5.2467 -1.7503 13.0106
Lu S Rb Fe
4 12 4 4
direct
0.0021 0.5000 0.2511
0.4979 0.0000 0.7511
0.9979 0.0000 0.7489
0.5021 0.5000 0.2489
0.4409 0.0000 0.3689
0.0591 0.5000 0.8689
0.7509 0.5000 0.3067
0.9409 0.0000 0.1311
0.0651 0.0000 0.3715
0.2509 0.5000 0.1933
0.4349 0.5000 0.8715
0.9349 0.5000 0.6285
0.5591 0.5000 0.6311
0.2491 0.0000 0.6933
0.7491 0.0000 0.8067
0.5651 0.0000 0.1285
0.2537 0.5000 0.5081
0.7537 0.5000 0.9919
0.7463 0.0000 0.4919
0.2463 0.0000 0.0081
0.7520 0.0000 0.2163
0.7480 0.5000 0.7163
0.2480 0.5000 0.7837
0.2520 0.0000 0.2837
```

Results
E, Ry/atom: -0.418
V, Å³/atom: 23.999
Offset from the most stable computed form, meV/atom: 23


(3)
## LaSm2GdTl2 (PBE-GGA)

Data for an optimized crystal structure of LaSm2GdTl2.

Cell and atoms, written as POSCAR:
```
LaSm2GdTl2
1.0
5.5380 0.0000 0.0000
-2.7690 4.7960 0.0000
0.0000 0.0000 6.8785
Tl Gd Sm La
2 1 2 1
direct
0.6667 0.3333 0.5000
0.0000 0.0000 0.0000
0.0000 0.0000 0.5000
0.3333 0.6667 0.7388
0.3333 0.6667 0.2612
0.6667 0.3333 0.0000
```

Results
E, Ry/atom: -0.311
V, Å³/atom: 30.449


(4)
## La2PrNi2B2P3 (PBE-GGA)

Data for an optimized crystal structure of La2PrNi2B2P3.

Cell and atoms, written as POSCAR:
```
La2PrNi2B2P3
1.0
-6.2333 7.3905 5.8937
-7.2422 8.6981 0.3214
4.5041 -9.9029 -3.1393
Ni P La B Pr
2 3 2 2 1
direct
0.7500 0.2500 0.5000
0.2500 0.7500 0.5000
0.1313 0.1313 0.0000
0.5000 0.5000 0.0000
0.8687 0.8687 0.0000
0.3591 0.3591 0.0000
0.6409 0.6409 0.0000
0.7801 0.7801 0.0000
0.2199 0.2199 0.0000
0.0000 0.0000 0.0000
```

Results
E, Ry/atom: -0.471
V, Å³/atom: 18.483


(5)
## SrLuNO (PBE-GGA)

Data for an optimized crystal structure of SrLuNO.

Cell and atoms, written as POSCAR:
```
SrLuNO
1.0
-3.1759 0.3222 2.1788
1.5233 -4.6006 2.9008
3.4206 3.9116 4.4074
O Sr Lu N
2 2 2 2
direct
0.5000 0.9239 0.8069
0.5000 0.4239 0.1931
0.5000 0.4789 0.8269
0.5000 0.9789 0.1731
0.0000 0.4868 0.3428
0.0000 0.9868 0.6572
0.0000 0.8644 0.3605
0.0000 0.3644 0.6395
```

Results
E, Ry/atom: -0.510
V, Å³/atom: 18.592
Offset from the most stable computed form, meV/atom: 104


(6)
## PmTlNO (PBE-GGA)

Data for an optimized crystal structure of PmTlNO.

Cell and atoms, written as POSCAR:
```
PmTlNO
1.0
-3.7346 0.2731 1.5901
-1.7340 -4.6726 -3.2700
1.7634 -4.0382 4.8352
O N Tl Pm
2 2 2 2
direct
0.5000 0.4073 0.1745
0.5000 0.9073 0.8255
0.0000 0.3783 0.6527
0.0000 0.8783 0.3473
0.5000 0.4802 0.8054
0.5000 0.9802 0.1946
0.0000 0.4882 0.3128
0.0000 0.9882 0.6872
```

Results
E, Ry/atom: -0.450
V, Å³/atom: 19.830
Offset from the most stable computed form, meV/atom: 50


(7)
## Ta12W17 (PBE-GGA)

Data for an optimized crystal structure of Ta12W17.

Cell and atoms, written as POSCAR:
```
Ta12W17
1.0
-3.3259 -6.6143 -4.5625
-4.5616 1.0493 7.3292
-0.4072 7.2826 -4.7355
Ta W
12 17
direct
0.3156 0.3156 0.7234
0.3156 0.7234 0.3156
0.7234 0.3156 0.3156
0.4078 0.6844 0.0000
0.5922 0.2766 0.5922
0.6844 0.4078 0.0000
0.5922 0.5922 0.2766
0.2766 0.5922 0.5922
0.0000 0.6844 0.4078
0.4078 0.0000 0.6844
0.6844 0.0000 0.4078
0.0000 0.4078 0.6844
0.8157 0.1863 0.8157
0.3705 0.0000 0.1843
0.0000 0.1843 0.3705
0.1863 0.8157 0.8157
0.0000 0.0000 0.6431
0.8137 0.6295 0.6295
0.6431 0.0000 0.0000
0.0000 0.6431 0.0000
0.6295 0.8137 0.6295
0.1843 0.3705 0.0000
0.0000 0.3705 0.1843
0.0000 0.0000 0.0000
0.3705 0.1843 0.0000
0.3569 0.3569 0.3569
0.8157 0.8157 0.1863
0.1843 0.0000 0.3705
0.6295 0.6295 0.8137
```

Results
E, Ry/atom: -0.904
V, Å³/atom: 17.458
Formation energy, kcal/mol of atoms: 4.7
Offset from the most stable computed form, meV/atom: 0


(8)
## SrLaZn4 (PBE-GGA)

Data for an optimized crystal structure of SrLaZn4.

Cell and atoms, written as POSCAR:
```
SrLaZn4
1.0
0.4565 -2.1663 5.4508
3.7074 4.5243 0.6316
-5.8171 -0.3765 -0.7953
Zn Sr La
4 1 1
direct
0.5236 0.8349 0.6887
0.3675 0.1663 0.2012
0.9650 0.1663 0.7988
0.1462 0.8349 0.3113
0.9591 0.4591 0.5000
0.5387 0.5387 0.0000
```

Results
E, Ry/atom: -0.165
V, Å³/atom: 22.648


(9)
## HfPOsO (PBE-GGA)

Data for an optimized crystal structure of HfPOsO.

Cell and atoms, written as POSCAR:
```
HfPOsO
1.0
3.5303 -3.5303 0.0000
3.5303 3.5303 0.0000
0.0000 0.0000 4.5462
Hf P Os O
2 2 2 2
direct
0.7500 0.2500 0.5000
0.2500 0.7500 0.5000
0.7500 0.7500 0.3891
0.2500 0.2500 0.6109
0.7500 0.7500 0.8919
0.2500 0.2500 0.1081
0.2500 0.7500 0.0000
0.7500 0.2500 0.0000
```

Results
E, Ry/atom: -0.606
V, Å³/atom: 14.165
Offset from the most stable computed form, meV/atom: 1129


(10)
## PmYCd (PBE-GGA)

Data for an optimized crystal structure of PmYCd.

Cell and atoms, written as POSCAR:
```
PmYCd
1.0
-3.9987 -2.6202 -1.8776
-4.5532 0.2186 2.3667
-3.9136 2.5059 -2.1874
Cd Y Pm
1 1 1
direct
0.2500 0.2500 0.2500
0.7500 0.7500 0.7500
0.0000 0.0000 0.0000
```

Results
E, Ry/atom: -0.260
V, Å³/atom: 31.936
Formation energy, kcal/mol of atoms: 11.4


(11)
## ScNbAg (PBE-GGA)

Data for an optimized crystal structure of ScNbAg.

Cell and atoms, written as POSCAR:
```
ScNbAg
1.0
0.0000 3.2165 3.2165
3.2165 0.0000 3.2165
3.2165 3.2165 0.0000
Nb Sc Ag
1 1 1
direct
0.2500 0.2500 0.2500
0.7500 0.7500 0.7500
0.0000 0.0000 0.0000
```

Results
E, Ry/atom: -0.423
V, Å³/atom: 22.186
Formation energy, kcal/mol of atoms: 15.1
Offset from the most stable computed form, meV/atom: 0


(12)
## Tm4AsPO (PBE-GGA)

Data for an optimized crystal structure of Tm4AsPO.

Cell and atoms, written as POSCAR:
```
Tm4AsPO
1.0
5.7641 -5.3808 -2.3578
7.6029 -2.0433 2.3996
-7.8430 1.6351 1.8843
Tm O P As
4 1 1 1
direct
0.8231 0.8231 0.0000
0.9965 0.4965 0.5000
0.4965 0.9965 0.5000
0.1823 0.1823 0.0000
0.9991 0.9991 0.0000
0.3675 0.3675 0.0000
0.6350 0.6350 0.0000
```

Results
E, Ry/atom: -0.453
V, Å³/atom: 20.288


(13)
## UTlGa (PBE-GGA)

Data for an optimized crystal structure of UTlGa.

Cell and atoms, written as POSCAR:
```
UTlGa
1.0
0.0000 3.4202 3.4202
3.4202 0.0000 3.4202
3.4202 3.4202 0.0000
Ga U Tl
1 1 1
direct
0.0000 0.0000 0.0000
0.7500 0.7500 0.7500
0.2500 0.2500 0.2500
```

Results
E, Ry/atom: -0.376
V, Å³/atom: 26.672
Offset from the most stable computed form, meV/atom: 0


(14)
## LiPtO4 (PBE-GGA)

Data for an optimized crystal structure of LiPtO4.

Cell and atoms, written as POSCAR:
```
LiPtO4
1.0
4.4190 0.0000 0.0000
0.0000 5.6093 0.0000
-0.1008 0.0000 5.0454
O Li Pt
8 2 2
direct
0.7629 0.3786 0.3953
0.7338 0.1132 0.9265
0.2371 0.6214 0.6047
0.2662 0.1132 0.5735
0.7629 0.6214 0.8953
0.7338 0.8868 0.4265
0.2662 0.8868 0.0735
0.2371 0.3786 0.1047
0.0000 0.3490 0.7500
0.0000 0.6510 0.2500
0.5000 0.1531 0.2500
0.5000 0.8469 0.7500
```

Results
E, Ry/atom: -0.376
V, Å³/atom: 10.422
Offset from the most stable computed form, meV/atom: 148


(15)
## TbSmCuSe3 (PBE-GGA)

Data for an optimized crystal structure of TbSmCuSe3.

Cell and atoms, written as POSCAR:
```
TbSmCuSe3
1.0
4.4594 1.6079 5.0678
-6.6177 -1.0571 -1.8006
0.9855 -10.2106 2.3724
Se Cu Sm Tb
6 2 2 2
direct
0.3528 0.6472 0.0716
0.0919 0.9081 0.2500
0.6472 0.3528 0.5716
0.3528 0.6472 0.4284
0.6472 0.3528 0.9284
0.9081 0.0919 0.7500
0.5268 0.4732 0.7500
0.4732 0.5268 0.2500
0.2337 0.7663 0.7500
0.7663 0.2337 0.2500
0.0000 0.0000 0.5000
0.0000 0.0000 0.0000
```

Results
E, Ry/atom: -0.392
V, Å³/atom: 23.078


(16)
## FeTe (PBE-GGA)

Data for an optimized crystal structure of FeTe.

Cell and atoms, written as POSCAR:
```
FeTe
1.0
6.8011 0.0000 0.0000
0.0000 6.8011 0.0000
0.0000 0.0000 7.5192
Te Fe
8 8
direct
0.3106 0.1676 0.7440
0.8324 0.3106 0.7560
0.1676 0.6894 0.7560
0.3106 0.1676 0.2560
0.6894 0.8324 0.2560
0.8324 0.3106 0.2440
0.1676 0.6894 0.2440
0.6894 0.8324 0.7440
0.5000 0.5000 0.2500
0.5000 0.5000 0.7500
0.8443 0.0613 0.5000
0.0000 0.5000 0.5000
0.9387 0.8443 0.0000
0.5000 0.0000 0.0000
0.1557 0.9387 0.5000
0.0613 0.1557 0.0000
```

Results
E, Ry/atom: -0.395
V, Å³/atom: 21.738


(17)
## Ho3Si4Au2 (PBE-GGA)

Data for an optimized crystal structure of Ho3Si4Au2.

Cell and atoms, written as POSCAR:
```
Ho3Si4Au2
1.0
5.3560 -2.1081 0.0000
5.3560 2.1081 0.0000
-1.8199 0.0000 7.9670
Au Si Ho
2 4 3
direct
0.6145 0.6145 0.7811
0.3855 0.3855 0.2189
0.2757 0.2757 0.4477
0.9449 0.9449 0.1081
0.7243 0.7243 0.5523
0.0551 0.0551 0.8919
0.0000 0.0000 0.5000
0.6626 0.6626 0.1731
0.3374 0.3374 0.8269
```

Results
E, Ry/atom: -0.400
V, Å³/atom: 19.990


(18)
## Co3N (PBE-GGA)

Data for an optimized crystal structure of Co3N.

Cell and atoms, written as POSCAR:
```
Co3N
1.0
3.4333 0.0000 0.0000
0.0000 3.4301 0.0000
0.0000 0.0000 3.4325
Co N
3 1
direct
0.5000 0.5000 0.0000
0.0000 0.5000 0.5000
0.5000 0.0000 0.5000
0.0000 0.0000 0.0000
```

Results
E, Ry/atom: -0.474
V, Å³/atom: 10.106


(19)
## GaNiHg2 (PBE-GGA)

Data for an optimized crystal structure of GaNiHg2.

Cell and atoms, written as POSCAR:
```
GaNiHg2
1.0
1.6012 0.9240 4.3764
2.5770 3.9080 0.8107
-1.8527 3.5912 2.4983
Hg Ni Ga
2 1 1
direct
0.0000 0.0000 0.0000
0.7500 0.7500 0.7500
0.2500 0.2500 0.2500
0.5000 0.5000 0.5000
```

Results
E, Ry/atom: -0.147
V, Å³/atom: 18.956


(20)
## CsLuNiTe3 (PBE-GGA)

Data for an optimized crystal structure of CsLuNiTe3.

Cell and atoms, written as POSCAR:
```
CsLuNiTe3
1.0
-4.0131 7.6482 1.9869
2.1932 -8.4078 1.7452
9.3068 3.5184 5.2543
Te Lu Ni Cs
6 2 2 2
direct
0.3817 0.6183 0.5633
0.9449 0.0551 0.2500
0.6183 0.3817 0.0633
0.0551 0.9449 0.7500
0.3817 0.6183 0.9367
0.6183 0.3817 0.4367
0.0000 0.0000 0.0000
0.0000 0.0000 0.5000
0.5321 0.4679 0.2500
0.4679 0.5321 0.7500
0.7415 0.2585 0.7500
0.2585 0.7415 0.2500
```

Results
E, Ry/atom: -0.314
V, Å³/atom: 34.068
Offset from the most stable computed form, meV/atom: 28


(21)
## CsTmAlTe3 (PBE-GGA)

Data for an optimized crystal structure of CsTmAlTe3.

Cell and atoms, written as POSCAR:
```
CsTmAlTe3
1.0
-8.4714 1.1878 -1.2212
6.2846 -5.1298 2.9759
-0.7839 5.0352 10.3348
Te Tm Al Cs
6 2 2 2
direct
0.6148 0.3852 0.5607
0.6148 0.3852 0.9393
0.3852 0.6148 0.0607
0.9390 0.0610 0.7500
0.3852 0.6148 0.4393
0.0610 0.9390 0.2500
0.0000 0.0000 0.5000
0.0000 0.0000 0.0000
0.4830 0.5170 0.2500
0.5170 0.4830 0.7500
0.2518 0.7482 0.7500
0.7482 0.2518 0.2500
```

Results
E, Ry/atom: -0.295
V, Å³/atom: 38.534


(22)
## Li2Sc2In2AgPd (PBE-GGA)

Data for an optimized crystal structure of Li2Sc2In2AgPd.

Cell and atoms, written as POSCAR:
```
Li2Sc2In2AgPd
1.0
4.6711 0.0000 0.0000
0.0000 4.6711 0.0000
0.0000 0.0000 6.6506
Ag In Pd Sc Li
1 2 1 2 2
direct
0.0000 0.0000 0.5000
0.0000 0.5000 0.2464
0.5000 0.0000 0.7536
0.5000 0.5000 0.0000
0.5000 0.0000 0.2383
0.0000 0.5000 0.7617
0.0000 0.0000 0.0000
0.5000 0.5000 0.5000
```

Results
E, Ry/atom: -0.312
V, Å³/atom: 18.139


(23)
## AgTePtO (PBE-GGA)

Data for an optimized crystal structure of AgTePtO.

Cell and atoms, written as POSCAR:
```
AgTePtO
1.0
5.4848 0.0000 0.0000
0.0000 6.8916 0.0000
0.0000 0.0000 7.5329
O Ag Pt Te
4 4 4 4
direct
0.3700 0.8015 0.6020
0.1300 0.1985 0.1020
0.6300 0.3015 0.8980
0.8700 0.6985 0.3980
0.0120 0.1681 0.8154
0.5120 0.3319 0.1846
0.9880 0.6681 0.6846
0.4880 0.8319 0.3154
0.2196 0.6867 0.0200
0.7804 0.1867 0.4800
0.2804 0.3133 0.5200
0.7196 0.8133 0.9800
0.9881 0.4586 0.2632
0.0119 0.9586 0.2368
0.5119 0.5414 0.7632
0.4881 0.0414 0.7368
```

Results
E, Ry/atom: -0.326
V, Å³/atom: 17.796
Offset from the most stable computed form, meV/atom: 13